DFT (PBEsol) results for a geometry-optimized NaSrOs3 structure.

Properties
Space-group type: Pm-3m (221)
Density of states at the Fermi level, states/eV/atom: 1.447
Theoretical density, g cm⁻³: 9.65
Total magnetization, μB/cell: 3.685
Energy of formation, eV per atom: 3.4888

```
5
Lattice="4.894 0.000 0.000 0.000 4.894 0.000 0.000 0.000 4.894" Properties=species:S:1:pos:R:3 pbc="T T T"
Na 0.000 0.000 0.000
Sr 2.447 2.447 2.447
Os 0.000 2.447 2.447
Os 2.447 0.000 2.447
Os 2.447 2.447 0.000
```